PBE with a Hubbard U Na5MoO5, relaxed; M_tot = 0.091 μB/atom; raw total energy = -5.07 eV/atom
1.0
5.3888 -2.2105 0.0000
5.3888 2.2105 0.0000
-1.9618 0.0000 6.1491
Na Mo O
5 1 5
Cartesian
0.0000 0.0000 0.0000 Na
2.9567 0.0000 1.0644 Na
2.1858 0.0000 3.9622 Na
6.6301 0.0000 2.1869 Na
5.8591 0.0000 5.0847 Na
-0.9809 0.0000 3.0746 Mo
0.7194 0.0000 2.1452 O
-0.0108 0.0000 4.9013 O
4.4079 0.0000 3.0746 O
8.8267 0.0000 1.2479 O
8.0964 0.0000 4.0039 O